Entry a
Mg2Ga3Ag8: optimized geometry, GGA-PBE.

Cell lengths 6.6204, 4.0284, 9.1845 Å; angles 90.00, 97.81, 90.00 degrees
With the nearest neighbours (Å) after each atom.
Atoms (fractional coordinates):
Mg1 0.2437 0.0000 0.0659  9 Ag 2.79-3.03
Mg2 0.7563 0.0000 0.9341  9 Ag 2.79-3.03
Ga1 0.2027 0.5000 0.5804  9 Ag 2.79-3.07, 3 Ga 2.88-2.98
Ga2 0.5000 0.0000 0.5000  8 Ag 2.82-2.90, 4 Ga 2.98
Ga3 0.7973 0.5000 0.4196  9 Ag 2.79-3.07, 3 Ga 2.88-2.98
Ag1 0.0567 0.5000 0.8577  6 Ag 2.82-2.99, 1 Ga 2.84, 4 Mg 2.93-2.98
Ag2 0.0919 0.0000 0.3632  5 Ga 2.82-2.90, 6 Ag 2.90-2.99, 1 Mg 3.03
Ag3 0.3420 0.0000 0.7798  2 Mg 2.79-2.91, 3 Ga 2.79-2.90, 5 Ag 2.87-2.99
Ag4 0.3755 0.5000 0.2871  4 Ga 2.85-3.07, 5 Ag 2.87-2.99, 2 Mg 2.91
Ag5 0.6245 0.5000 0.7129  4 Ga 2.85-3.07, 5 Ag 2.87-2.99, 2 Mg 2.91
Ag6 0.6580 0.0000 0.2202  2 Mg 2.79-2.91, 3 Ga 2.79-2.90, 5 Ag 2.87-2.99
Ag7 0.9081 0.0000 0.6368  5 Ga 2.82-2.90, 6 Ag 2.90-2.99, 1 Mg 3.03
Ag8 0.9433 0.5000 0.1423  6 Ag 2.82-2.99, 1 Ga 2.84, 4 Mg 2.93-2.98

Results
SG	P2/m, No. 10

***

Entry b
Mg2Ga3Ag8: optimized geometry, GGA-PBE.

Cell lengths 6.9546, 6.9546, 5.8363 Å; angles 100.62, 100.62, 64.88 degrees
With the nearest neighbours (Å) after each atom.
Atoms (fractional coordinates):
Mg1 0.2047 0.2047 0.2528  7 Ag 2.73-3.00, 3 Ga 2.86-3.06
Mg2 0.7953 0.7953 0.7472  7 Ag 2.73-3.00, 3 Ga 2.86-3.06
Ga1 0.0000 0.0000 0.5000  6 Ag 2.66-2.73
Ga2 0.1778 0.8222 0.0000  1 Ga 2.65, 4 Ag 2.78-2.80, 2 Mg 2.86
Ga3 0.8222 0.1778 0.0000  1 Ga 2.65, 4 Ag 2.78-2.80, 2 Mg 2.86
Ag1 0.1899 0.5768 0.5615  2 Ga 2.73-2.80, 2 Mg 2.82-2.84, 6 Ag 2.89-3.06
Ag2 0.2140 0.2140 0.7712  1 Ga 2.66, 1 Mg 2.84, 3 Ag 2.88-2.93
Ag3 0.4199 0.4199 0.1448  1 Mg 2.73, 2 Ga 2.78, 6 Ag 2.79-2.94
Ag4 0.4232 0.8101 0.4385  2 Ga 2.73-2.80, 2 Mg 2.82-2.84, 6 Ag 2.89-3.06
Ag5 0.5768 0.1899 0.5615  2 Ga 2.73-2.80, 2 Mg 2.82-2.84, 6 Ag 2.89-3.06
Ag6 0.5801 0.5801 0.8552  1 Mg 2.73, 2 Ga 2.78, 6 Ag 2.79-2.94
Ag7 0.7860 0.7860 0.2288  1 Ga 2.66, 1 Mg 2.84, 3 Ag 2.88-2.93
Ag8 0.8101 0.4232 0.4385  2 Ga 2.73-2.80, 2 Mg 2.82-2.84, 6 Ag 2.89-3.06

Results
SG	C2/m, No. 12

***

Stability summary: most stable entry a, least stable entry b.

***

Entry a
MgGa8Ag6: optimized geometry, GGA-PBE.

Cell lengths 7.0289, 7.0289, 7.0289 Å; angles 66.58, 66.58, 66.58 degrees
With the nearest neighbours (Å) after each atom.
Atoms (fractional coordinates):
Mg1 0.0000 0.0000 0.0000  6 Ag 2.92
Ga1 0.1469 0.8141 0.4566  3 Ag 2.67-2.89, 5 Ga 2.72-2.87
Ga2 0.1859 0.5434 0.8531  3 Ag 2.67-2.89, 5 Ga 2.72-2.87
Ga3 0.2274 0.2274 0.2274  6 Ga 2.72-2.87, 3 Ag 2.78
Ga4 0.4566 0.1469 0.8141  3 Ag 2.67-2.89, 5 Ga 2.72-2.87
Ga5 0.5434 0.8531 0.1859  3 Ag 2.67-2.89, 5 Ga 2.72-2.87
Ga6 0.7726 0.7726 0.7726  6 Ga 2.72-2.87, 3 Ag 2.78
Ga7 0.8141 0.4566 0.1469  3 Ag 2.67-2.89, 5 Ga 2.72-2.87
Ga8 0.8531 0.1859 0.5434  3 Ag 2.67-2.89, 5 Ga 2.72-2.87
Ag1 0.1550 0.3194 0.6047  4 Ga 2.67-2.89, 1 Mg 2.92, 1 Ag 2.92
Ag2 0.3194 0.6047 0.1550  4 Ga 2.67-2.89, 1 Mg 2.92, 1 Ag 2.92
Ag3 0.3953 0.8450 0.6806  4 Ga 2.67-2.89, 1 Mg 2.92, 1 Ag 2.92
Ag4 0.6047 0.1550 0.3194  4 Ga 2.67-2.89, 1 Mg 2.92, 1 Ag 2.92
Ag5 0.6806 0.3953 0.8450  4 Ga 2.67-2.89, 1 Mg 2.92, 1 Ag 2.92
Ag6 0.8450 0.6806 0.3953  4 Ga 2.67-2.89, 1 Mg 2.92, 1 Ag 2.92

Results
SG	R-3, No. 148

***

Entry b
MgGa8Ag6: optimized geometry, GGA-PBE.

Cell lengths 6.9842, 6.9842, 6.9842 Å; angles 68.79, 68.79, 68.79 degrees
With the nearest neighbours (Å) after each atom.
Atoms (fractional coordinates):
Mg1 0.0000 0.0000 0.0000  6 Ag 2.87
Ga1 0.1213 0.7944 0.4932  4 Ag 2.70-2.93, 4 Ga 2.77-2.83
Ga2 0.2056 0.5068 0.8787  4 Ag 2.70-2.93, 4 Ga 2.77-2.83
Ga3 0.4167 0.4167 0.4167  4 Ga 2.65-2.79, 3 Ag 2.76
Ga4 0.4932 0.1213 0.7944  4 Ag 2.70-2.93, 4 Ga 2.77-2.83
Ga5 0.5068 0.8787 0.2056  4 Ag 2.70-2.93, 4 Ga 2.77-2.83
Ga6 0.5833 0.5833 0.5833  4 Ga 2.65-2.79, 3 Ag 2.76
Ga7 0.7944 0.4932 0.1213  4 Ag 2.70-2.93, 4 Ga 2.77-2.83
Ga8 0.8787 0.2056 0.5068  4 Ag 2.70-2.93, 4 Ga 2.77-2.83
Ag1 0.0574 0.5725 0.2705  5 Ga 2.70-2.93, 1 Mg 2.87, 3 Ag 2.89-3.01
Ag2 0.2705 0.0574 0.5725  5 Ga 2.70-2.93, 1 Mg 2.87, 3 Ag 2.89-3.01
Ag3 0.4275 0.7295 0.9426  5 Ga 2.70-2.93, 1 Mg 2.87, 3 Ag 2.89-3.01
Ag4 0.5725 0.2705 0.0574  5 Ga 2.70-2.93, 1 Mg 2.87, 3 Ag 2.89-3.01
Ag5 0.7295 0.9426 0.4275  5 Ga 2.70-2.93, 1 Mg 2.87, 3 Ag 2.89-3.01
Ag6 0.9426 0.4275 0.7295  5 Ga 2.70-2.93, 1 Mg 2.87, 3 Ag 2.89-3.01

Results
SG	R-3, No. 148

***

Stability summary: most stable entry a, least stable entry b.

***

Entry a
Mg2GaAg4: optimized geometry, GGA-PBE.

Cell lengths 5.9110, 7.0942, 7.1858 Å; angles 117.62, 95.44, 100.96 degrees
With the nearest neighbours (Å) after each atom.
Atoms (fractional coordinates):
Mg1 0.0000 0.0000 0.0000  9 Ag 2.75-3.07
Mg2 0.0088 0.1334 0.4896  7 Ag 2.87-3.07, 3 Mg 2.94-3.18, 1 Ga 3.14
Mg3 0.1953 0.6791 0.1396  8 Ag 2.87-3.12, 1 Ga 3.01, 1 Mg 3.10
Mg4 0.5122 0.1403 0.4848  7 Ag 2.88-3.07, 3 Mg 2.94-3.10, 1 Ga 3.06
Ga1 0.4012 0.5831 0.7484  8 Ag 2.68-2.98
Ga2 0.8177 0.4313 0.3046  7 Ag 2.65-2.96
Ag1 0.1847 0.8215 0.5823  2 Ga 2.85-2.89, 6 Ag 2.86-3.15, 4 Mg 2.87-3.07
Ag2 0.3135 0.3952 0.3196  3 Ga 2.68-2.99, 2 Mg 2.80-2.93, 2 Ag 2.87-2.93
Ag3 0.3322 0.2845 0.8842  1 Ga 2.70, 5 Ag 2.86-3.01, 4 Mg 2.87-3.00
Ag4 0.5042 0.0161 0.0410  2 Ga 2.70-2.79, 3 Mg 2.88-2.99, 4 Ag 2.90-3.02
Ag5 0.6736 0.8171 0.5702  2 Ga 2.87-2.89, 6 Ag 2.87-3.01, 3 Mg 2.93-3.02
Ag6 0.7100 0.7159 0.1346  2 Ga 2.81-2.93, 5 Ag 2.91-3.04, 4 Mg 2.92-3.01
Ag7 0.8223 0.2751 0.8907  1 Ga 2.65, 3 Ag 2.75-2.91, 3 Mg 2.75-2.92
Ag8 0.8874 0.5517 0.7197  2 Ga 2.66-2.94, 3 Ag 2.75-2.97, 3 Mg 2.76-2.92

Results
SG	P1, No. 1

***

Entry b
Mg2GaAg4: optimized geometry, GGA-PBE.

Cell lengths 5.5164, 5.5164, 4.4644 Å; angles 90.00, 90.00, 98.49 degrees
With the nearest neighbours (Å) after each atom.
Atoms (fractional coordinates):
Mg1 0.2219 0.7781 0.0000  8 Ag 2.76-2.88, 2 Ga 2.90
Mg2 0.7781 0.2219 0.0000  8 Ag 2.76-2.88, 2 Ga 2.90
Ga1 0.0000 0.0000 0.5000  8 Ag 2.76-3.08, 4 Mg 2.90
Ag1 0.0000 0.5000 0.5000  2 Ga 2.76, 4 Mg 2.88, 4 Ag 3.07
Ag2 0.2937 0.2937 0.0000  4 Mg 2.76-2.81, 5 Ag 2.97-3.07, 2 Ga 3.08
Ag3 0.5000 0.0000 0.5000  2 Ga 2.76, 4 Mg 2.88, 4 Ag 3.07
Ag4 0.7063 0.7063 0.0000  4 Mg 2.76-2.81, 5 Ag 2.97-3.07, 2 Ga 3.08

Results
SG	Cmmm, No. 65

***

Stability summary: most stable entry a, least stable entry b.

***

Entry a
Mg2GaAg8: optimized geometry, GGA-PBE.

Cell lengths 7.2946, 7.2946, 4.6204 Å; angles 107.79, 107.79, 61.40 degrees
With the nearest neighbours (Å) after each atom.
Atoms (fractional coordinates):
Mg1 0.1480 0.1480 0.1446  8 Ag 2.74-2.96
Mg2 0.8520 0.8520 0.8554  8 Ag 2.74-2.96
Ga1 0.6238 0.3762 0.5000  9 Ag 2.78-2.84
Ag1 0.0028 0.9972 0.5000  1 Ga 2.82, 6 Ag 2.87-3.12, 4 Mg 2.88-2.90
Ag2 0.0090 0.4093 0.7084  1 Ga 2.78, 3 Mg 2.79-2.86, 6 Ag 2.86-2.92
Ag3 0.1757 0.5407 0.3580  1 Mg 2.82, 1 Ga 2.82, 8 Ag 2.84-3.14
Ag4 0.2847 0.7153 0.0000  2 Mg 2.74, 6 Ag 2.84-2.88
Ag5 0.4593 0.8243 0.6420  1 Mg 2.82, 1 Ga 2.82, 8 Ag 2.84-3.14
Ag6 0.4651 0.2604 0.8633  2 Ga 2.80-2.84, 7 Ag 2.86-3.14, 1 Mg 2.96
Ag7 0.5907 0.9910 0.2916  1 Ga 2.78, 3 Mg 2.79-2.86, 6 Ag 2.86-2.92
Ag8 0.7396 0.5349 0.1367  2 Ga 2.80-2.84, 7 Ag 2.86-3.14, 1 Mg 2.96

Results
SG	C2, No. 5

***

Entry b
Mg2GaAg8: optimized geometry, GGA-PBE.

Cell lengths 7.5293, 7.5293, 6.6701 Å; angles 108.48, 108.48, 33.44 degrees
With the nearest neighbours (Å) after each atom.
Atoms (fractional coordinates):
Mg1 0.2211 0.2211 0.1458  10 Ag 2.81-2.98
Mg2 0.7789 0.7789 0.8542  10 Ag 2.81-2.98
Ga1 0.5000 0.5000 0.5000  12 Ag 2.82-3.02
Ag1 0.0418 0.0418 0.2259  1 Mg 2.81, 9 Ag 2.85-3.11, 2 Ga 3.02
Ag2 0.1399 0.1399 0.6831  7 Ag 2.88-3.00, 3 Mg 2.92, 2 Ga 2.94
Ag3 0.3226 0.3226 0.5926  1 Ga 2.82, 3 Mg 2.85-2.98, 8 Ag 2.89-3.00
Ag4 0.4071 0.4071 0.0563  1 Ga 2.82, 3 Mg 2.88-2.94, 8 Ag 2.88-3.11
Ag5 0.5929 0.5929 0.9437  1 Ga 2.82, 3 Mg 2.88-2.94, 8 Ag 2.88-3.11
Ag6 0.6774 0.6774 0.4074  1 Ga 2.82, 3 Mg 2.85-2.98, 8 Ag 2.89-3.00
Ag7 0.8601 0.8601 0.3169  7 Ag 2.88-3.00, 3 Mg 2.92, 2 Ga 2.94
Ag8 0.9582 0.9582 0.7741  1 Mg 2.81, 9 Ag 2.85-3.11, 2 Ga 3.02

Results
SG	C2/m, No. 12

***

Stability summary: most stable entry b, least stable entry a.